1.
The following is a DFT calculation (GGA-PBE) of a relaxed structure of DyTmCu6.

Cell and atoms, written as POSCAR:
```
DyTmCu6
1.0
-2.5004 -0.8869 3.4365
4.3604 -2.7333 2.4672
1.4980 4.3982 2.2251
Cu Dy Tm
6 1 1
direct
0.0000 0.2324 0.3597
0.5000 0.0000 0.2641
0.0000 0.5000 0.7468
0.5000 0.7234 0.6362
0.5000 0.2766 0.6362
0.0000 0.7676 0.3597
0.0000 0.0000 0.8648
0.5000 0.5000 0.1325
```

* final energy: -32.9 eV/f.u.
* space group: Pmm2, No. 25
* total magnetization: 0.010 μB/cell
* DFT formation energy: -0.188 eV/atom

***

2.
The following is a DFT calculation (GGA-PBE) of a relaxed structure of Li2ZrTaIn2Ir2.

Cell and atoms, written as POSCAR:
```
Li2ZrTaIn2Ir2
1.0
-2.9909 -2.6132 -2.2217
3.3770 -2.7596 -1.3002
-0.8489 -3.5379 5.3042
In Zr Ir Li Ta
2 1 2 2 1
direct
0.5000 0.5000 0.0000
0.0000 0.0000 0.5000
0.5000 0.5000 0.5000
0.5000 0.0000 0.2361
0.0000 0.5000 0.7639
0.0000 0.5000 0.2454
0.5000 0.0000 0.7546
0.0000 0.0000 0.0000
```

* final energy: -51.2 eV/f.u.
* space group: P-4m2, No. 115
* total magnetization: 0.019 μB/cell

***

3.
The following is a DFT calculation (GGA-PBE) of a relaxed structure of AlAgSO.

Cell and atoms, written as POSCAR:
```
AlAgSO
1.0
-6.8728 -0.1268 -2.3003
-1.3877 -4.8783 4.4152
0.3226 3.5087 3.9782
S Ag Al O
4 4 4 4
direct
0.2289 0.5111 0.3887
0.7711 0.4889 0.6113
0.7711 0.0111 0.1113
0.2289 0.9889 0.8887
0.0054 0.7886 0.4082
0.9946 0.2886 0.0918
0.9946 0.2114 0.5918
0.0054 0.7114 0.9082
0.4989 0.5968 0.2335
0.5011 0.4032 0.7665
0.4989 0.9032 0.7335
0.5011 0.0968 0.2665
0.5064 0.6629 0.9037
0.4936 0.3371 0.0963
0.5064 0.8371 0.4037
0.4936 0.1629 0.5963
```

* final energy: -21.1 eV/f.u.
* energy above the lowest structure with this stoichiometry: 0.000 eV per atom
* space group: P2_1/c, No. 14

***

4.
The following is a DFT calculation (GGA-PBE) of a relaxed structure of BaH6Au.

Cell and atoms, written as POSCAR:
```
BaH6Au
1.0
-0.0317 4.3658 0.7297
-3.6649 1.2451 2.1952
2.1978 -0.4616 4.4677
H Au Ba
6 1 1
direct
0.1416 0.1620 0.7235
0.5849 0.4142 0.9996
0.8489 0.8336 0.7597
0.8584 0.8380 0.2765
0.1511 0.1664 0.2403
0.4151 0.5858 0.0004
0.0000 0.0000 0.0000
0.5000 0.5000 0.5000
```

* final energy: -26.1 eV/f.u.
* space group: P-1, No. 2

***

5.
The following is a DFT calculation (GGA-PBE) of a relaxed structure of BeTlW2.

Cell and atoms, written as POSCAR:
```
BeTlW2
1.0
0.0000 3.1901 3.1901
3.1901 0.0000 3.1901
3.1901 3.1901 0.0000
W Tl Be
2 1 1
direct
0.0000 0.0000 0.0000
0.7500 0.7500 0.7500
0.5000 0.5000 0.5000
0.2500 0.2500 0.2500
```

* final energy: -28.4 eV/f.u.
* space group: F-43m, No. 216
* total magnetization: 0.000 μB/cell

***

6.
The following is a DFT calculation (GGA-PBE) of a relaxed structure of LiTbZnTe3.

Cell and atoms, written as POSCAR:
```
LiTbZnTe3
1.0
-5.3438 0.2389 13.6526
-2.7485 -3.1168 -1.0212
7.9766 -8.1034 3.2639
Li Zn Te Tb
4 4 12 4
direct
0.2780 0.2500 0.6884
0.2220 0.7500 0.1884
0.7220 0.7500 0.3116
0.7780 0.2500 0.8116
0.9805 0.2500 0.3955
0.0195 0.7500 0.6045
0.4805 0.2500 0.1045
0.5195 0.7500 0.8955
0.0926 0.7500 0.3875
0.1544 0.7500 0.7537
0.3456 0.2500 0.2537
0.1146 0.2500 0.0760
0.4074 0.2500 0.8875
0.6544 0.7500 0.7463
0.5926 0.7500 0.1125
0.3854 0.7500 0.5760
0.8854 0.7500 0.9240
0.9074 0.2500 0.6125
0.8456 0.2500 0.2463
0.6146 0.2500 0.4240
0.0224 0.2500 0.8437
0.9776 0.7500 0.1563
0.4776 0.7500 0.3437
0.5224 0.2500 0.6563
```

* final energy: -23.0 eV/f.u.
* energy above the lowest structure with this stoichiometry: 0.000 eV per atom
* space group: Pnma, No. 62
* total magnetization: 0.001 μB/cell

***

7.
The following is a DFT calculation (GGA-PBE) of a relaxed structure of BeHg2Os.

Cell and atoms, written as POSCAR:
```
BeHg2Os
1.0
-1.1175 1.3686 4.1904
-2.0757 4.0004 0.6076
-4.3674 0.1272 1.2615
Os Hg Be
1 2 1
direct
0.2500 0.2500 0.2500
0.0000 0.0000 0.0000
0.7500 0.7500 0.7500
0.5000 0.5000 0.5000
```

* final energy: -11.9 eV/f.u.
* space group: F-43m, No. 216
* total magnetization: 0.001 μB/cell

***

8.
The following is a DFT calculation (GGA-PBE) of a relaxed structure of HoEr3Sc2CuTe2.

Cell and atoms, written as POSCAR:
```
HoEr3Sc2CuTe2
1.0
-1.7824 2.9911 1.5881
0.1400 -3.7915 7.2984
6.2193 4.8954 -2.2398
Cu Te Er Ho Sc
1 2 3 1 2
direct
0.0000 0.9989 0.9989
0.5000 0.3316 0.6710
0.5000 0.6710 0.3316
0.5000 0.2461 0.9964
0.5000 0.9964 0.2461
0.5000 0.7553 0.7553
0.0000 0.4032 0.4032
0.0000 0.5978 0.9996
0.0000 0.9996 0.5978
```

* final energy: -46.2 eV/f.u.
* space group: Amm2, No. 38
* total magnetization: 0.014 μB/cell

***

- Which value of final energy does entry 5 give?
  -28.4 eV/f.u.

***

- The lowest final energy belongs to which entry?
  Li2ZrTaIn2Ir2